# Tm2HfSc4

A relaxed structure of Tm2HfSc4 (PBE, Alexandria via LeMat-Bulk).

Summary:
DOS at the Fermi energy = 1.628 states/eV/atom
uncorrected energy = -6.29 eV per atom
energy above the lowest structure with this stoichiometry = 0 meV per atom
formation energy = 3 kJ per mole of atoms

a b c (Å): 5.791 3.343 18.596
angles (deg): 90.00 95.95 90.00
Space group Cm (No. 8)
Unique sites:
Tm 0.000 0.000 0.000 (multiplicity 2)
Tm 0.099 0.000 0.294 (multiplicity 2)
Hf 0.192 0.000 0.578 (multiplicity 2)
Sc 0.284 0.000 0.853 (multiplicity 2)
Sc 0.315 0.500 0.446 (multiplicity 2)
Sc 0.383 0.000 0.147 (multiplicity 2)
Sc 0.403 0.500 0.712 (multiplicity 2)

---

# Sr2AgSb2

A relaxed structure of Sr2AgSb2 (PBE, Alexandria via LeMat-Bulk).

Summary:
DOS at the Fermi energy = 0.484 states/eV/atom
uncorrected energy = -3.36 eV per atom
energy above the lowest structure with this stoichiometry = 287 meV per atom
E_form (uncorrected) = -0.47 eV/atom

a b c (Å): 6.508 6.508 8.770
angles (deg): 90.00 90.00 90.00
Space group I4/mmm (No. 139)
Unique sites:
Sr 0.000 0.500 0.250 (multiplicity 4)
Ag 0.000 0.000 0.000 (multiplicity 2)
Sb 0.000 0.000 0.320 (multiplicity 4)

---

# Pm7NiSn4

A relaxed structure of Pm7NiSn4 (PBE, Alexandria via LeMat-Bulk).

Summary:
DOS at the Fermi energy = 0.920 states/eV/atom
uncorrected energy = -4.99 eV per atom
formation energy = -39 kJ per mole of atoms

a b c (Å): 15.972 5.364 11.305
angles (deg): 90.00 127.57 90.00
Space group C2/m (No. 12)
Unique sites:
Pm 0.000 0.000 0.000 (multiplicity 2)
Pm 0.075 0.500 0.286 (multiplicity 4)
Pm 0.142 0.000 0.559 (multiplicity 4)
Pm 0.214 0.500 0.864 (multiplicity 4)
Ni 0.000 0.500 0.000 (multiplicity 2)
Sn 0.078 0.000 0.781 (multiplicity 4)
Sn 0.221 0.000 0.346 (multiplicity 4)

---

# TaBe3Co4

A relaxed structure of TaBe3Co4 (PBE, Alexandria via LeMat-Bulk).

Summary:
DOS at the Fermi energy = 0.446 states/eV/atom
uncorrected energy = -6.75 eV per atom
formation energy = -30 kJ per mole of atoms

a b c (Å): 3.842 3.842 5.558
angles (deg): 90.00 90.00 90.00
Space group P4/mmm (No. 123)
Unique sites:
Ta 0.000 0.000 0.000 (multiplicity 1)
Be 0.000 0.000 0.500 (multiplicity 1)
Be 0.500 0.500 0.000 (multiplicity 1)
Be 0.500 0.500 0.500 (multiplicity 1)
Co 0.000 0.500 0.274 (multiplicity 4)

---

# Cs2MgRuCl6

A relaxed structure of Cs2MgRuCl6 (PBE, Alexandria via LeMat-Bulk).

Summary:
DOS at the Fermi energy = 0.000 states/eV/atom
uncorrected energy = -3.72 eV per atom
E_form (uncorrected) = -1.36 eV/atom

a b c (Å): 10.092 10.092 10.092
angles (deg): 90.00 90.00 90.00
Space group Fm-3m (No. 225)
Unique sites:
Cs 0.250 0.250 0.250 (multiplicity 8)
Mg 0.000 0.000 0.000 (multiplicity 4)
Ru 0.000 0.000 0.500 (multiplicity 4)
Cl 0.000 0.000 0.255 (multiplicity 24)

---

# Nb2CuSnF

A relaxed structure of Nb2CuSnF (PBE, Alexandria via LeMat-Bulk).

Summary:
DOS at the Fermi energy = 1.258 states/eV/atom
uncorrected energy = -4.72 eV per atom
energy above the lowest structure with this stoichiometry = 1362 meV per atom
E_form (uncorrected) = 1.30 eV/atom

a b c (Å): 5.383 5.383 4.717
angles (deg): 90.00 90.00 90.00
Space group P4/mmm (No. 123)
Unique sites:
Nb 0.000 0.500 0.000 (multiplicity 2)
Cu 0.000 0.000 0.500 (multiplicity 1)
Sn 0.000 0.000 0.000 (multiplicity 1)
F 0.500 0.500 0.500 (multiplicity 1)

---

# GdBeNi

A relaxed structure of GdBeNi (PBE, Alexandria via LeMat-Bulk).

Summary:
DOS at the Fermi energy = 0.851 states/eV/atom
uncorrected energy = -8.11 eV per atom
formation energy = -23 kJ per mole of atoms

a b c (Å): 3.9276 3.9276 3.8013
angles (deg): 90.00 90.00 120.00
Space group P-6m2 (No. 187)
Unique sites:
Gd 0.0000 0.0000 0.0000 (multiplicity 1)
Be 0.3333 0.6667 0.5000 (multiplicity 1)
Ni 0.6667 0.3333 0.5000 (multiplicity 1)

---

# TaGaNi6

A relaxed structure of TaGaNi6 (PBE, Alexandria via LeMat-Bulk).

Summary:
DOS at the Fermi energy = 0.342 states/eV/atom
uncorrected energy = -6.49 eV per atom
energy above the lowest structure with this stoichiometry = 72 meV per atom
formation energy = -28 kJ per mole of atoms

a b c (Å): 5.1428 5.1428 4.1743
angles (deg): 90.00 90.00 120.00
Space group P-6m2 (No. 187)
Unique sites:
Ta 0.0000 0.0000 0.0000 (multiplicity 1)
Ga 0.6667 0.3333 0.5000 (multiplicity 1)
Ni 0.0045 0.5022 0.0000 (multiplicity 3)
Ni 0.1715 0.3430 0.5000 (multiplicity 3)

---

# Al2ZnCo3

A relaxed structure of Al2ZnCo3 (PBE, Alexandria via LeMat-Bulk).

Summary:
DOS at the Fermi energy = 0.463 states/eV/atom
uncorrected energy = -5.42 eV per atom
formation energy = -40 kJ per mole of atoms

a b c (Å): 2.857 2.857 8.583
angles (deg): 90.00 90.00 90.00
Space group P4/mmm (No. 123)
Unique sites:
Al 0.000 0.000 0.168 (multiplicity 2)
Zn 0.000 0.000 0.500 (multiplicity 1)
Co 0.500 0.500 0.000 (multiplicity 1)
Co 0.500 0.500 0.328 (multiplicity 2)

---

# Hf2BeGa

A relaxed structure of Hf2BeGa (PBE, Alexandria via LeMat-Bulk).

Summary:
DOS at the Fermi energy = 0.601 states/eV/atom
uncorrected energy = -6.86 eV per atom
energy above the lowest structure with this stoichiometry = 135 meV per atom
formation energy = -19 kJ per mole of atoms

a b c (Å): 3.019 3.019 7.387
angles (deg): 90.00 90.00 90.00
Space group P4/mmm (No. 123)
Unique sites:
Hf 0.000 0.000 0.230 (multiplicity 2)
Be 0.500 0.500 0.000 (multiplicity 1)
Ga 0.500 0.500 0.500 (multiplicity 1)

---

# TbPmY2Sc4

A relaxed structure of TbPmY2Sc4 (PBE, Alexandria via LeMat-Bulk).

Summary:
DOS at the Fermi energy = 2.079 states/eV/atom
uncorrected energy = -5.52 eV per atom
formation energy = 42 kJ per mole of atoms

a b c (Å): 6.552 11.336 12.687
angles (deg): 90.00 90.00 90.00
Space group Imma (No. 74)
Unique sites:
Tb 0.250 0.250 0.250 (multiplicity 4)
Pm 0.000 0.000 0.000 (multiplicity 4)
Y 0.000 0.000 0.500 (multiplicity 4)
Y 0.250 0.250 0.750 (multiplicity 4)
Sc 0.000 0.002 0.249 (multiplicity 8)
Sc 0.249 0.250 0.000 (multiplicity 8)

---

# ScTcTePt2

A relaxed structure of ScTcTePt2 (PBE, Alexandria via LeMat-Bulk).

Summary:
DOS at the Fermi energy = 0.812 states/eV/atom
uncorrected energy = -5.41 eV per atom
E_form (uncorrected) = 0.97 eV/atom

a b c (Å): 4.931 4.931 5.179
angles (deg): 90.00 90.00 90.00
Space group P4/mmm (No. 123)
Unique sites:
Sc 0.000 0.000 0.000 (multiplicity 1)
Tc 0.500 0.500 0.000 (multiplicity 1)
Te 0.000 0.000 0.500 (multiplicity 1)
Pt 0.000 0.500 0.500 (multiplicity 2)

---

Q: What is the DOS at the Fermi energy in the seventh record?
A: 0.851 states/eV/atom

---

Q: Look up the DOS at the Fermi energy of the tenth one.
A: 0.601 states/eV/atom